Here is Tb2NdMg2 after structural relaxation from the Alexandria database. Energies are from GGA-PBE.

Energy above the most stable polymorph in this dataset in meV per atom: 0
Total moment in μB/f.u.: 0.000
N(E_F) in states/eV/atom: 1.1260

```
data_Tb2NdMg2
_chemical_formula_sum 'Tb4 Nd2 Mg4'
_symmetry_space_group_name_H-M 'P 1 21/m 1'
_symmetry_Int_Tables_number 11
_cell_length_a 3.783
_cell_length_b 5.514
_cell_length_c 14.139
_cell_angle_alpha 90.00
_cell_angle_beta 97.71
_cell_angle_gamma 90.00
loop_
_symmetry_equiv_pos_as_xyz
'x,y,z'
'-x,-y,-z'
'-x,y+1/2,-z'
'x,-y+1/2,z'
loop_
_atom_site_label
_atom_site_type_symbol
_atom_site_fract_x
_atom_site_fract_y
_atom_site_fract_z
Tb1 Tb 0.045 0.250 0.090
Tb2 Tb 0.237 0.250 0.475
Nd1 Nd 0.151 0.750 0.300
Mg1 Mg 0.360 0.750 0.719
Mg2 Mg 0.449 0.250 0.898
```